Entry from the Alexandria database: Nb3VF after structural relaxation (PBE+U).

Values from the calculation:
Space group: Pm-3m (221)
ΔE to the lowest computed polymorph in eV/atom: 0.000

abc: 4.3488 4.3488 4.3488
angles: 90.00 90.00 90.00
With the nearest neighbours (Å) after each atom.
Sites, in units of the cell vectors:
Nb  0.0000  0.5000  0.0000  2 F 2.17
Nb  0.0000  0.0000  0.5000  2 F 2.17
Nb  0.5000  0.0000  0.0000  2 F 2.17
V  0.5000  0.5000  0.5000  12 Nb 3.08
F  0.0000  0.0000  0.0000  6 Nb 2.17